Record 1
Entry from the Alexandria database: Sm8Sb2C3 after structural relaxation (PBE).

a b c (Å): 6.582 7.438 8.546
angles (deg): 115.79 104.65 90.00
Fractional positions:
Sm 0.923 0.597 0.194
Sm 0.077 0.403 0.806
Sm 0.897 0.094 0.188
Sm 0.103 0.906 0.812
Sm 0.610 0.667 0.814
Sm 0.610 0.147 0.814
Sm 0.390 0.853 0.186
Sm 0.390 0.333 0.186
Sb 0.323 0.254 0.508
Sb 0.677 0.746 0.492
C 0.500 0.000 0.000
C 0.000 0.252 0.000
C 0.000 0.748 0.000

Computed properties:
- Uncorrected energy: -6.073 eV/atom
- Volume: 27.810 Å³ per atom
- D(E_F): 9.5 states/eV per cell
- Theoretical density: 6.8 g/cm3
- Formation energy without anion corrections: -406 meV/atom

***

Record 2
Entry from the Alexandria database: NiOsRu2 after structural relaxation (PBE).

a b c (Å): 3.741 3.785 3.785
angles (deg): 90.00 90.00 90.00
Fractional positions:
Ni 0.500 0.500 0.000
Os 0.500 0.000 0.500
Ru 0.000 0.000 0.000
Ru 0.000 0.500 0.500

Computed properties:
- Energy of formation from the pure elements: 0.209 eV per atom
- Uncorrected energy: -8.682 eV/atom
- Volume: 13.397 Å³ per atom
- Relative energy among the computed polymorphs: 0.125 eV per atom
- D(E_F): 4.6 states/eV per cell
- Theoretical density: 14.0 g/cm3

***

Record 3
Entry from the Alexandria database: CrTeSeI2 after structural relaxation (PBE).

a b c (Å): 5.651 5.651 5.673
angles (deg): 90.00 90.00 90.00
Each line ends with the local moment (μB).
Fractional positions:
I 0.000 0.500 0.000  0.00
I 0.500 0.000 0.000  0.00
Cr 0.500 0.500 0.500  4.31
Te 0.000 0.000 0.500  -0.18
Se 0.000 0.000 0.000  0.04

Computed properties:
- Uncorrected energy: -3.194 eV/atom
- Volume: 36.234 Å³ per atom
- Relative energy among the computed polymorphs: 0.106 eV per atom
- D(E_F): 7.1 states/eV per cell
- Theoretical density: 4.7 g/cm3
- Formation energy without anion corrections: 676 meV/atom